No. 1
# Sr2TbOs2 GGA-PBE optimized geometry
data_Sr2TbOs2
_chemical_formula_sum 'Sr2 Tb1 Os2'
_space_group_name_H-M_alt 'P 1'
_space_group_IT_number 1
_cell_length_a 6.112
_cell_length_b 6.112
_cell_length_c 6.112
_cell_angle_alpha 129.95
_cell_angle_beta 129.95
_cell_angle_gamma 73.48
loop_
_space_group_symop_operation_xyz
'x,y,z'
loop_
_atom_site_label
_atom_site_fract_x
_atom_site_fract_y
_atom_site_fract_z
Sr1 0.144 0.144 0.000
Sr2 0.856 0.856 0.000
Tb1 0.500 0.500 0.000
Os1 0.250 0.750 0.500
Os2 0.750 0.250 0.500
# Relative energy among the computed polymorphs, kJ/mol of atoms: 47.6
# E_tot, eV/atom: -4.837

***

No. 2
# Sr2TbOs2 GGA-PBE optimized geometry
data_Sr2TbOs2
_chemical_formula_sum 'Sr2 Tb1 Os2'
_space_group_name_H-M_alt 'P 1'
_space_group_IT_number 1
_cell_length_a 7.427
_cell_length_b 7.427
_cell_length_c 7.427
_cell_angle_alpha 144.95
_cell_angle_beta 144.95
_cell_angle_gamma 50.41
loop_
_space_group_symop_operation_xyz
'x,y,z'
loop_
_atom_site_label
_atom_site_fract_x
_atom_site_fract_y
_atom_site_fract_z
Sr1 0.250 0.750 0.500
Sr2 0.750 0.250 0.500
Tb1 0.000 0.000 0.000
Os1 0.414 0.414 0.000
Os2 0.586 0.586 0.000
# Relative energy among the computed polymorphs, kJ/mol of atoms: 0.0
# E_tot, eV/atom: -5.330

***

No. 3
# SrTbOs GGA-PBE optimized geometry
data_SrTbOs
_chemical_formula_sum 'Sr1 Tb1 Os1'
_space_group_name_H-M_alt 'P 1'
_space_group_IT_number 1
_cell_length_a 4.907
_cell_length_b 4.907
_cell_length_c 4.907
_cell_angle_alpha 60.00
_cell_angle_beta 60.00
_cell_angle_gamma 60.00
loop_
_space_group_symop_operation_xyz
'x,y,z'
loop_
_atom_site_label
_atom_site_fract_x
_atom_site_fract_y
_atom_site_fract_z
Sr1 0.000 0.000 0.000
Tb1 0.500 0.500 0.500
Os1 0.250 0.250 0.250
# E_tot, eV/atom: -5.501

***

No. 4
# SrUOs GGA-PBE optimized geometry
data_SrUOs
_chemical_formula_sum 'Sr1 U1 Os1'
_space_group_name_H-M_alt 'P 1'
_space_group_IT_number 1
_cell_length_a 4.861
_cell_length_b 4.861
_cell_length_c 4.861
_cell_angle_alpha 60.00
_cell_angle_beta 60.00
_cell_angle_gamma 60.00
loop_
_space_group_symop_operation_xyz
'x,y,z'
loop_
_atom_site_label
_atom_site_fract_x
_atom_site_fract_y
_atom_site_fract_z
Sr1 0.000 0.000 0.000
U1 0.500 0.500 0.500
Os1 0.250 0.250 0.250
# Relative energy among the computed polymorphs, kJ/mol of atoms: 0.0
# E_tot, eV/atom: -7.310

***

No. 5
# SrY2Os GGA-PBE optimized geometry
data_SrY2Os
_chemical_formula_sum 'Sr1 Y2 Os1'
_space_group_name_H-M_alt 'P 1'
_space_group_IT_number 1
_cell_length_a 5.250
_cell_length_b 5.250
_cell_length_c 5.250
_cell_angle_alpha 60.00
_cell_angle_beta 60.00
_cell_angle_gamma 60.00
loop_
_space_group_symop_operation_xyz
'x,y,z'
loop_
_atom_site_label
_atom_site_fract_x
_atom_site_fract_y
_atom_site_fract_z
Sr1 0.000 0.000 0.000
Y1 0.500 0.500 0.500
Y2 0.750 0.750 0.750
Os1 0.250 0.250 0.250
# E_tot, eV/atom: -5.958

***

No. 6
# TaOs2 GGA-PBE optimized geometry
data_TaOs2
_chemical_formula_sum 'Ta2 Os4'
_space_group_name_H-M_alt 'P 1'
_space_group_IT_number 1
_cell_length_a 7.851
_cell_length_b 7.851
_cell_length_c 7.851
_cell_angle_alpha 60.00
_cell_angle_beta 60.00
_cell_angle_gamma 60.00
loop_
_space_group_symop_operation_xyz
'x,y,z'
loop_
_atom_site_label
_atom_site_fract_x
_atom_site_fract_y
_atom_site_fract_z
Ta1 0.125 0.125 0.125
Ta2 0.875 0.875 0.875
Os1 0.000 0.000 0.000
Os2 0.000 0.000 0.500
Os3 0.000 0.500 0.000
Os4 0.500 0.000 0.000
# E_tot, eV/atom: -7.534

***

No. 7
# TaOs2 GGA-PBE optimized geometry
data_TaOs2
_chemical_formula_sum 'Ta2 Os4'
_space_group_name_H-M_alt 'P 1'
_space_group_IT_number 1
_cell_length_a 5.145
_cell_length_b 5.145
_cell_length_c 5.145
_cell_angle_alpha 60.00
_cell_angle_beta 60.00
_cell_angle_gamma 60.00
loop_
_space_group_symop_operation_xyz
'x,y,z'
loop_
_atom_site_label
_atom_site_fract_x
_atom_site_fract_y
_atom_site_fract_z
Ta1 0.125 0.125 0.125
Ta2 0.875 0.875 0.875
Os1 0.000 0.500 0.500
Os2 0.500 0.000 0.500
Os3 0.500 0.500 0.000
Os4 0.500 0.500 0.500
# E_tot, eV/atom: -11.439

***

No. 8
# Ta2Os GGA-PBE optimized geometry
data_Ta2Os
_chemical_formula_sum 'Ta4 Os2'
_space_group_name_H-M_alt 'P 1'
_space_group_IT_number 1
_cell_length_a 5.268
_cell_length_b 5.268
_cell_length_c 5.268
_cell_angle_alpha 60.00
_cell_angle_beta 60.00
_cell_angle_gamma 60.00
loop_
_space_group_symop_operation_xyz
'x,y,z'
loop_
_atom_site_label
_atom_site_fract_x
_atom_site_fract_y
_atom_site_fract_z
Ta1 0.000 0.000 0.000
Ta2 0.000 0.000 0.500
Ta3 0.000 0.500 0.000
Ta4 0.500 0.000 0.000
Os1 0.375 0.375 0.375
Os2 0.625 0.625 0.625
# E_tot, eV/atom: -11.158

***

No. 9
# Ta2Os GGA-PBE optimized geometry
data_Ta2Os
_chemical_formula_sum 'Ta4 Os2'
_space_group_name_H-M_alt 'P 1'
_space_group_IT_number 1
_cell_length_a 7.874
_cell_length_b 7.874
_cell_length_c 7.874
_cell_angle_alpha 60.00
_cell_angle_beta 60.00
_cell_angle_gamma 60.00
loop_
_space_group_symop_operation_xyz
'x,y,z'
loop_
_atom_site_label
_atom_site_fract_x
_atom_site_fract_y
_atom_site_fract_z
Ta1 0.000 0.000 0.000
Ta2 0.000 0.000 0.500
Ta3 0.000 0.500 0.000
Ta4 0.500 0.000 0.000
Os1 0.125 0.125 0.125
Os2 0.875 0.875 0.875
# E_tot, eV/atom: -8.283

***

No. 10
# TaTcOs2 GGA-PBE optimized geometry
data_TaTcOs2
_chemical_formula_sum 'Ta1 Tc1 Os2'
_space_group_name_H-M_alt 'P 1'
_space_group_IT_number 1
_cell_length_a 4.433
_cell_length_b 4.433
_cell_length_c 4.433
_cell_angle_alpha 60.00
_cell_angle_beta 60.00
_cell_angle_gamma 60.00
loop_
_space_group_symop_operation_xyz
'x,y,z'
loop_
_atom_site_label
_atom_site_fract_x
_atom_site_fract_y
_atom_site_fract_z
Ta1 0.000 0.000 0.000
Tc1 0.750 0.750 0.750
Os1 0.250 0.250 0.250
Os2 0.500 0.500 0.500
# E_tot, eV/atom: -10.944

***

No. 11
# TaTcOs GGA-PBE optimized geometry
data_TaTcOs
_chemical_formula_sum 'Ta1 Tc1 Os1'
_space_group_name_H-M_alt 'P 1'
_space_group_IT_number 1
_cell_length_a 4.270
_cell_length_b 4.270
_cell_length_c 4.270
_cell_angle_alpha 60.00
_cell_angle_beta 60.00
_cell_angle_gamma 60.00
loop_
_space_group_symop_operation_xyz
'x,y,z'
loop_
_atom_site_label
_atom_site_fract_x
_atom_site_fract_y
_atom_site_fract_z
Ta1 0.000 0.000 0.000
Tc1 0.250 0.250 0.250
Os1 0.750 0.750 0.750
# Relative energy among the computed polymorphs, kJ/mol of atoms: 22.9
# E_tot, eV/atom: -10.512

***

No. 12
# TaTeOs GGA-PBE optimized geometry
data_TaTeOs
_chemical_formula_sum 'Ta1 Te1 Os1'
_space_group_name_H-M_alt 'P 1'
_space_group_IT_number 1
_cell_length_a 4.475
_cell_length_b 4.475
_cell_length_c 4.475
_cell_angle_alpha 60.00
_cell_angle_beta 60.00
_cell_angle_gamma 60.00
loop_
_space_group_symop_operation_xyz
'x,y,z'
loop_
_atom_site_label
_atom_site_fract_x
_atom_site_fract_y
_atom_site_fract_z
Ta1 0.000 0.000 0.000
Te1 0.250 0.250 0.250
Os1 0.750 0.750 0.750
# Relative energy among the computed polymorphs, kJ/mol of atoms: 37.3
# E_tot, eV/atom: -8.199

***

No. 13
# TaTeOs GGA-PBE optimized geometry
data_TaTeOs
_chemical_formula_sum 'Ta1 Te1 Os1'
_space_group_name_H-M_alt 'P 1'
_space_group_IT_number 1
_cell_length_a 4.433
_cell_length_b 4.433
_cell_length_c 4.433
_cell_angle_alpha 60.00
_cell_angle_beta 60.00
_cell_angle_gamma 60.00
loop_
_space_group_symop_operation_xyz
'x,y,z'
loop_
_atom_site_label
_atom_site_fract_x
_atom_site_fract_y
_atom_site_fract_z
Ta1 0.000 0.000 0.000
Te1 0.500 0.500 0.500
Os1 0.250 0.250 0.250
# Relative energy among the computed polymorphs, kJ/mol of atoms: 0.0
# E_tot, eV/atom: -8.585

***

No. 14
# ThTaOs GGA-PBE optimized geometry
data_ThTaOs
_chemical_formula_sum 'Th1 Ta1 Os1'
_space_group_name_H-M_alt 'P 1'
_space_group_IT_number 1
_cell_length_a 4.689
_cell_length_b 4.689
_cell_length_c 4.689
_cell_angle_alpha 60.00
_cell_angle_beta 60.00
_cell_angle_gamma 60.00
loop_
_space_group_symop_operation_xyz
'x,y,z'
loop_
_atom_site_label
_atom_site_fract_x
_atom_site_fract_y
_atom_site_fract_z
Th1 0.000 0.000 0.000
Ta1 0.500 0.500 0.500
Os1 0.750 0.750 0.750
# E_tot, eV/atom: -9.892

***

No. 15
# Ta2TlOs GGA-PBE optimized geometry
data_Ta2TlOs
_chemical_formula_sum 'Ta2 Tl1 Os1'
_space_group_name_H-M_alt 'P 1'
_space_group_IT_number 1
_cell_length_a 4.665
_cell_length_b 4.665
_cell_length_c 4.665
_cell_angle_alpha 60.00
_cell_angle_beta 60.00
_cell_angle_gamma 60.00
loop_
_space_group_symop_operation_xyz
'x,y,z'
loop_
_atom_site_label
_atom_site_fract_x
_atom_site_fract_y
_atom_site_fract_z
Ta1 0.000 0.000 0.000
Ta2 0.250 0.250 0.250
Tl1 0.500 0.500 0.500
Os1 0.750 0.750 0.750
# E_tot, eV/atom: -8.800

***

No. 16
# TmTaOs GGA-PBE optimized geometry
data_TmTaOs
_chemical_formula_sum 'Tm1 Ta1 Os1'
_space_group_name_H-M_alt 'P 1'
_space_group_IT_number 1
_cell_length_a 4.488
_cell_length_b 4.488
_cell_length_c 4.488
_cell_angle_alpha 60.00
_cell_angle_beta 60.00
_cell_angle_gamma 60.00
loop_
_space_group_symop_operation_xyz
'x,y,z'
loop_
_atom_site_label
_atom_site_fract_x
_atom_site_fract_y
_atom_site_fract_z
Tm1 0.000 0.000 0.000
Ta1 0.250 0.250 0.250
Os1 0.750 0.750 0.750
# E_tot, eV/atom: -7.797

***

No. 17
# Ta2OsW2 GGA-PBE optimized geometry
data_Ta2OsW2
_chemical_formula_sum 'Ta2 Os1 W2'
_space_group_name_H-M_alt 'P 1'
_space_group_IT_number 1
_cell_length_a 7.488
_cell_length_b 7.488
_cell_length_c 7.488
_cell_angle_alpha 152.53
_cell_angle_beta 152.53
_cell_angle_gamma 39.25
loop_
_space_group_symop_operation_xyz
'x,y,z'
loop_
_atom_site_label
_atom_site_fract_x
_atom_site_fract_y
_atom_site_fract_z
Ta1 0.093 0.093 0.000
Ta2 0.907 0.907 0.000
Os1 0.500 0.500 0.000
W1 0.250 0.750 0.500
W2 0.750 0.250 0.500
# Relative energy among the computed polymorphs, kJ/mol of atoms: 0.0
# E_tot, eV/atom: -11.269

***

No. 18
# Ta2OsW2 GGA-PBE optimized geometry
data_Ta2OsW2
_chemical_formula_sum 'Ta2 Os1 W2'
_space_group_name_H-M_alt 'P 1'
_space_group_IT_number 1
_cell_length_a 6.993
_cell_length_b 6.993
_cell_length_c 6.993
_cell_angle_alpha 149.06
_cell_angle_beta 149.06
_cell_angle_gamma 44.33
loop_
_space_group_symop_operation_xyz
'x,y,z'
loop_
_atom_site_label
_atom_site_fract_x
_atom_site_fract_y
_atom_site_fract_z
Ta1 0.250 0.750 0.500
Ta2 0.750 0.250 0.500
Os1 0.000 0.000 0.000
W1 0.409 0.409 0.000
W2 0.591 0.591 0.000
# Relative energy among the computed polymorphs, kJ/mol of atoms: 39.6
# E_tot, eV/atom: -10.859

***

No. 19
# TaOsW GGA-PBE optimized geometry
data_TaOsW
_chemical_formula_sum 'Ta1 Os1 W1'
_space_group_name_H-M_alt 'P 1'
_space_group_IT_number 1
_cell_length_a 4.326
_cell_length_b 4.326
_cell_length_c 4.326
_cell_angle_alpha 60.00
_cell_angle_beta 60.00
_cell_angle_gamma 60.00
loop_
_space_group_symop_operation_xyz
'x,y,z'
loop_
_atom_site_label
_atom_site_fract_x
_atom_site_fract_y
_atom_site_fract_z
Ta1 0.000 0.000 0.000
Os1 0.250 0.250 0.250
W1 0.500 0.500 0.500
# Relative energy among the computed polymorphs, kJ/mol of atoms: 0.0
# E_tot, eV/atom: -11.590

***

No. 20
# Ta2Os2W GGA-PBE optimized geometry
data_Ta2Os2W
_chemical_formula_sum 'Ta2 Os2 W1'
_space_group_name_H-M_alt 'P 1'
_space_group_IT_number 1
_cell_length_a 6.197
_cell_length_b 6.197
_cell_length_c 6.197
_cell_angle_alpha 141.16
_cell_angle_beta 141.16
_cell_angle_gamma 56.09
loop_
_space_group_symop_operation_xyz
'x,y,z'
loop_
_atom_site_label
_atom_site_fract_x
_atom_site_fract_y
_atom_site_fract_z
Ta1 0.250 0.750 0.500
Ta2 0.750 0.250 0.500
Os1 0.110 0.110 0.000
Os2 0.890 0.890 0.000
W1 0.500 0.500 0.000
# Relative energy among the computed polymorphs, kJ/mol of atoms: 0.0
# E_tot, eV/atom: -11.186